Record 1
Entry from Alexandria: crystalline Np2SiPIr6 at its relaxed geometry (GGA-PBE).

Results
For the density of states at the Fermi level, the calculation gives 43.32 states/eV per cell. The total magnetic moment is 11.9 Bohr magnetons per cell. The formation energy from raw total energies comes out at -0.3354 eV/atom.

Unit cell a=5.4725 b=8.4377 c=7.8354 alpha=90.00 beta=90.00 gamma=90.00
Last column: nearest neighbours and their distance in Å.
Space group Pmmn (No. 59, origin choice 2)
Inequivalent atoms, fractional coordinates:
Np (0.2500, 0.0208, 0.2221)  9 Ir 3.03-3.17, 2 Si 3.35
Si (0.2500, 0.7500, 0.7678)  6 Ir 2.38-2.45
P (0.2500, 0.2500, 0.7464)  6 Ir 2.31-2.42
Ir (0.0010, 0.2500, 0.4915)  1 P 2.42, 1 Si 2.45, 4 Ir 2.65-2.68
Ir (0.0061, 0.7500, 0.0198)  1 P 2.31, 1 Si 2.38
Ir (0.2500, 0.0003, 0.6132)  1 P 2.35, 1 Si 2.43


Record 2
Entry from Alexandria: crystalline Ga3SiIr at its relaxed geometry (GGA-PBE).

Results
For the density of states at the Fermi level, the calculation gives 3.54 states/eV per cell. The total magnetic moment is 0.0 Bohr magnetons per cell. The formation energy from raw total energies comes out at 0.8816 eV/atom.

Unit cell a=4.6470 b=4.6470 c=4.6470 alpha=90.00 beta=90.00 gamma=90.00
Last column: nearest neighbours and their distance in Å.
Space group Pm-3m (No. 221)
Inequivalent atoms, fractional coordinates:
Ga (0.0000, 0.0000, 0.5000)  2 Si 2.32
Si (0.0000, 0.0000, 0.0000)  6 Ga 2.32
Ir (0.5000, 0.5000, 0.5000)  12 Ga 3.29


Record 3
Entry from Alexandria: crystalline KBaAgCl4 at its relaxed geometry (GGA-PBE).

Results
For the density of states at the Fermi level, the calculation gives 0.00 states/eV per cell. The total magnetic moment is 0.0 Bohr magnetons per cell. The formation energy from raw total energies comes out at -1.7330 eV/atom.

Unit cell a=7.3936 b=7.1309 c=8.8752 alpha=90.00 beta=107.99 gamma=90.00
Last column: nearest neighbours and their distance in Å.
Space group P2_1/m (No. 11)
Inequivalent atoms, fractional coordinates:
K (0.2488, 0.2500, 0.0588)  4 Cl 3.12-3.41
Ba (0.2300, 0.2500, 0.5583)  6 Cl 3.07-3.17
Ag (0.2474, 0.7500, 0.3024)  4 Cl 2.51-2.61
Cl (0.0118, 0.5081, 0.7344)  1 Ag 2.60
Cl (0.4504, 0.7500, 0.6003)  1 Ag 2.61
Cl (0.4514, 0.7500, 0.1230)  1 Ag 2.51


Record 4
Entry from Alexandria: crystalline LaHgIr2 at its relaxed geometry (GGA-PBE).

Results
For the density of states at the Fermi level, the calculation gives 3.55 states/eV per cell. The total magnetic moment is 0.0 Bohr magnetons per cell. As for the formation enthalpy at 0 K: 0.06 eV per atom.

Unit cell a=3.5621 b=3.5621 c=6.4382 alpha=90.00 beta=90.00 gamma=90.00
Last column: nearest neighbours and their distance in Å.
Space group P4/mmm (No. 123)
Inequivalent atoms, fractional coordinates:
La (0.0000, 0.0000, 0.0000)  8 Ir 3.08, 2 Hg 3.22
Hg (0.0000, 0.0000, 0.5000)  8 Ir 2.90, 2 La 3.22
Ir (0.5000, 0.5000, 0.2764)  1 Ir 2.88, 4 Hg 2.90, 4 La 3.08


Record 5
Entry from Alexandria: crystalline ScOs2Au at its relaxed geometry (GGA-PBE).

Results
For the density of states at the Fermi level, the calculation gives 1.93 states/eV per cell. The total magnetic moment is 0.0 Bohr magnetons per cell. As for the formation enthalpy at 0 K: -0.10 eV per atom.

Unit cell a=2.8902 b=3.9207 c=5.7976 alpha=90.00 beta=90.00 gamma=90.00
Last column: nearest neighbours and their distance in Å.
Space group Pmm2 (No. 25)
Inequivalent atoms, fractional coordinates:
Sc (0.0000, 0.0000, 0.0000)  5 Os 2.65-2.91, 4 Au 2.84, 2 Sc 2.89
Os (0.0000, 0.0000, 0.5425)  1 Sc 2.65, 6 Os 2.66-2.89, 4 Au 2.96
Os (0.5000, 0.5000, 0.7259)  6 Os 2.66-2.89, 1 Au 2.75, 4 Sc 2.91
Au (0.5000, 0.5000, 0.2523)  6 Os 2.75-3.05, 4 Sc 2.84, 2 Au 2.89


Record 6
Entry from Alexandria: crystalline BeTlGa at its relaxed geometry (GGA-PBE).

Results
For the density of states at the Fermi level, the calculation gives 3.49 states/eV per cell. The total magnetic moment is 0.0 Bohr magnetons per cell. As for the formation enthalpy at 0 K: 0.13 eV per atom.

Unit cell a=6.3919 b=3.6908 c=10.3342 alpha=90.00 beta=90.09 gamma=90.00
Last column: nearest neighbours and their distance in Å.
Space group C2/m (No. 12)
Inequivalent atoms, fractional coordinates:
Be (0.1666, 0.0000, 0.0046)  3 Be 2.13
Tl (0.1680, 0.0000, 0.3570)  3 Ga 3.16
Ga (0.0003, 0.5000, 0.1315)  6 Be 2.50-2.55, 1 Ga 2.72